# 1
Here is a geometry-optimized Tm2SO4F2 structure from OQMD via LeMat-Bulk. Energies are from PBE.

Lattice parameters (Å, degrees): 8.353 8.353 8.079 116.22 116.22 23.45
Sites, in units of the cell vectors:
Tm 0.541 0.185 0.873
Tm 0.185 0.541 0.373
Tm 0.815 0.459 0.627
Tm 0.459 0.815 0.127
O 0.185 0.755 0.082
O 0.245 0.815 0.418
O 0.755 0.185 0.582
O 0.282 0.963 0.794
O 0.718 0.037 0.206
O 0.037 0.718 0.706
O 0.815 0.245 0.918
O 0.963 0.282 0.294
F 0.405 0.045 0.623
F 0.955 0.595 0.877
F 0.595 0.955 0.377
F 0.045 0.405 0.123
S 0.929 0.071 0.250
S 0.071 0.929 0.750

Properties
VASP energy: -6.76 eV/atom
SG: C2/c

# 2
Here is a geometry-optimized TcSbO2F8 structure from OQMD via LeMat-Bulk. Energies are from PBE.

Lattice parameters (Å, degrees): 6.901 9.889 8.714 90.00 93.48 90.00
Sites, in units of the cell vectors:
F 0.534 0.123 0.849
F 0.101 0.870 0.220
F 0.101 0.151 0.217
F 0.797 0.748 0.156
F 0.297 0.752 0.656
F 0.899 0.130 0.780
F 0.601 0.630 0.720
F 0.399 0.370 0.280
F 0.034 0.377 0.349
F 0.601 0.349 0.717
F 0.301 0.508 0.526
F 0.975 0.131 0.500
F 0.364 0.017 0.394
F 0.475 0.369 0.000
F 0.199 0.008 0.974
F 0.981 0.354 0.638
F 0.019 0.646 0.362
F 0.025 0.869 0.500
F 0.864 0.483 0.894
F 0.519 0.854 0.862
F 0.966 0.623 0.651
F 0.203 0.252 0.844
F 0.525 0.631 0.000
F 0.899 0.849 0.783
F 0.466 0.877 0.151
F 0.481 0.146 0.138
F 0.399 0.651 0.283
F 0.636 0.983 0.606
F 0.801 0.992 0.026
F 0.699 0.492 0.474
F 0.703 0.248 0.344
F 0.136 0.517 0.106
O 0.259 0.513 0.810
O 0.241 0.013 0.690
O 0.741 0.487 0.190
O 0.832 0.259 0.054
O 0.332 0.241 0.554
O 0.168 0.741 0.946
O 0.668 0.759 0.446
O 0.759 0.987 0.310
Sb 0.216 0.514 0.317
Sb 0.716 0.986 0.817
Sb 0.284 0.014 0.183
Sb 0.784 0.486 0.683
Tc 0.660 0.329 0.156
Tc 0.160 0.171 0.656
Tc 0.840 0.829 0.344
Tc 0.340 0.671 0.844

Properties
VASP energy: -5.20 eV/atom
SG: P2_1/c

# 3
Here is a geometry-optimized Zn3Sb4O6F6 structure from OQMD via LeMat-Bulk. Energies are from PBE.

Lattice parameters (Å, degrees): 7.024 7.024 7.024 109.47 109.47 109.47
Sites, in units of the cell vectors:
O 0.251 0.251 0.000
O 0.749 0.000 0.749
O 0.000 0.749 0.749
O 0.000 0.251 0.251
O 0.749 0.749 0.000
O 0.251 0.000 0.251
Sb 0.000 0.000 0.327
Sb 0.327 0.000 0.000
Sb 0.000 0.327 0.000
Sb 0.673 0.673 0.673
Zn 0.000 0.500 0.500
Zn 0.500 0.000 0.500
Zn 0.500 0.500 0.000
F 0.500 0.750 0.250
F 0.500 0.250 0.750
F 0.250 0.750 0.500
F 0.250 0.500 0.750
F 0.750 0.500 0.250
F 0.750 0.250 0.500

Properties
VASP energy: -5.01 eV/atom
SG: I-43m

# 4
Here is a geometry-optimized SmSeO3F structure from OQMD via LeMat-Bulk. Energies are from PBE.

Lattice parameters (Å, degrees): 4.262 6.450 6.866 97.11 96.23 95.28
Sites, in units of the cell vectors:
Sm 0.461 0.350 0.227
Sm 0.539 0.650 0.773
O 0.262 0.345 0.894
O 0.521 0.316 0.574
O 0.479 0.684 0.426
O 0.581 0.017 0.799
O 0.419 0.983 0.201
O 0.738 0.655 0.106
F 0.037 0.710 0.709
F 0.963 0.290 0.291
Se 0.707 0.850 0.302
Se 0.293 0.150 0.698

Properties
VASP energy: -6.50 eV/atom
SG: P-1

# 5
Here is a geometry-optimized Tb2SeOF2 structure from OQMD via LeMat-Bulk. Energies are from PBE.

Lattice parameters (Å, degrees): 13.284 13.284 3.727 90.00 90.00 120.00
Sites, in units of the cell vectors:
Tb 0.119 0.516 0.250
Tb 0.288 0.055 0.750
Tb 0.881 0.484 0.750
Tb 0.516 0.397 0.750
Tb 0.484 0.603 0.250
Tb 0.397 0.881 0.250
Tb 0.233 0.288 0.250
Tb 0.945 0.233 0.750
Tb 0.712 0.945 0.250
Tb 0.603 0.119 0.750
Tb 0.055 0.767 0.250
Tb 0.767 0.712 0.750
F 0.204 0.099 0.250
F 0.247 0.932 0.250
F 0.105 0.204 0.750
F 0.315 0.247 0.750
F 0.068 0.315 0.250
F 0.932 0.685 0.750
F 0.099 0.895 0.750
F 0.753 0.068 0.750
F 0.901 0.105 0.250
F 0.685 0.753 0.250
F 0.895 0.796 0.250
F 0.796 0.901 0.750
O 0.412 0.986 0.750
O 0.986 0.574 0.250
O 0.574 0.588 0.750
O 0.014 0.426 0.750
O 0.426 0.412 0.250
O 0.588 0.014 0.250
Se 0.719 0.512 0.250
Se 0.281 0.488 0.750
Se 0.207 0.719 0.750
Se 0.512 0.793 0.750
Se 0.793 0.281 0.250
Se 0.488 0.207 0.250

Properties
VASP energy: -6.97 eV/atom
SG: P6_3/m

# 6
Here is a geometry-optimized Tb5Se2O10F3 structure from OQMD via LeMat-Bulk. Energies are from PBE.

Lattice parameters (Å, degrees): 6.478 6.478 8.831 95.07 95.07 49.55
Sites, in units of the cell vectors:
Se 0.611 0.611 0.866
Se 0.389 0.389 0.134
F 0.000 0.000 0.000
F 0.360 0.360 0.830
F 0.640 0.640 0.170
O 0.898 0.381 0.436
O 0.339 0.816 0.733
O 0.381 0.898 0.436
O 0.184 0.661 0.267
O 0.619 0.102 0.564
O 0.754 0.754 0.869
O 0.246 0.246 0.131
O 0.661 0.184 0.267
O 0.102 0.619 0.564
O 0.816 0.339 0.733
Tb 0.918 0.918 0.759
Tb 0.778 0.778 0.376
Tb 0.082 0.082 0.241
Tb 0.500 0.500 0.500
Tb 0.222 0.222 0.624

Properties
VASP energy: -7.14 eV/atom
SG: C2/m

# 7
Here is a geometry-optimized ZrSeO3F structure from OQMD via LeMat-Bulk. Energies are from PBE.

Lattice parameters (Å, degrees): 4.074 6.329 6.493 85.50 89.34 80.35
Sites, in units of the cell vectors:
Zr 0.515 0.589 0.769
Zr 0.485 0.411 0.231
O 0.408 0.084 0.233
O 0.438 0.704 0.424
O 0.592 0.916 0.767
O 0.562 0.296 0.576
O 0.718 0.337 0.966
O 0.282 0.663 0.034
Se 0.860 0.085 0.685
Se 0.140 0.915 0.315
F 0.023 0.571 0.683
F 0.977 0.429 0.317

Properties
VASP energy: -6.95 eV/atom
SG: P-1

# 8
Here is a geometry-optimized Zn3SiO2F6 structure from OQMD via LeMat-Bulk. Energies are from PBE.

Lattice parameters (Å, degrees): 6.042 6.042 4.365 90.00 90.00 120.00
Sites, in units of the cell vectors:
F 0.866 0.731 0.719
F 0.731 0.866 0.281
F 0.134 0.866 0.281
F 0.269 0.134 0.719
F 0.866 0.134 0.719
F 0.134 0.269 0.281
Zn 0.500 0.000 0.000
Zn 0.500 0.500 0.000
Zn 0.000 0.500 0.000
Si 0.000 0.000 0.500
O 0.333 0.667 0.853
O 0.667 0.333 0.147

Properties
VASP energy: -4.82 eV/atom
SG: P-3m1

# 9
Here is a geometry-optimized TaOF2 structure from OQMD via LeMat-Bulk. Energies are from PBE.

Lattice parameters (Å, degrees): 4.898 7.125 5.243 90.00 90.00 90.00
Sites, in units of the cell vectors:
O 0.896 0.563 0.141
O 0.396 0.437 0.141
O 0.104 0.437 0.641
O 0.604 0.563 0.641
F 0.782 0.904 0.752
F 0.718 0.904 0.252
F 0.698 0.225 0.489
F 0.302 0.775 0.989
F 0.218 0.096 0.252
F 0.802 0.225 0.989
F 0.198 0.775 0.489
F 0.282 0.096 0.752
Ta 0.031 0.325 0.300
Ta 0.469 0.325 0.800
Ta 0.531 0.675 0.300
Ta 0.969 0.675 0.800

Properties
Energy above the lowest structure with this stoichiometry: 24.8 meV/atom
SG: Pca2_1

# 10
Here is a geometry-optimized TaOF2 structure from OQMD via LeMat-Bulk. Energies are from PBE.

Lattice parameters (Å, degrees): 5.004 5.004 5.740 107.49 107.49 44.79
Sites, in units of the cell vectors:
F 0.682 0.682 0.597
F 0.663 0.663 0.084
F 0.318 0.318 0.403
F 0.337 0.337 0.916
O 0.998 0.998 0.253
O 0.002 0.002 0.747
Ta 0.501 0.501 0.268
Ta 0.499 0.499 0.732

Properties
Energy above the lowest structure with this stoichiometry: 0.0 meV/atom
SG: C2/m

# 11
Here is a geometry-optimized Ta4TlO5F structure from OQMD via LeMat-Bulk. Energies are from PBE.

Lattice parameters (Å, degrees): 4.166 4.166 8.414 90.00 90.00 90.00
Sites, in units of the cell vectors:
O 0.000 0.500 0.749
O 0.500 0.500 0.000
O 0.000 0.500 0.251
O 0.500 0.000 0.251
O 0.500 0.000 0.749
Ta 0.000 0.000 0.764
Ta 0.500 0.000 0.000
Ta 0.000 0.000 0.236
Ta 0.000 0.500 0.000
Tl 0.500 0.500 0.500
F 0.000 0.000 0.500

Properties
VASP energy: -9.07 eV/atom
SG: P4/mmm

# 12
Here is a geometry-optimized TaZnO3F structure from OQMD via LeMat-Bulk. Energies are from PBE.

Lattice parameters (Å, degrees): 3.739 6.460 6.606 67.71 88.40 86.41
Sites, in units of the cell vectors:
Zn 0.701 0.353 0.197
Zn 0.299 0.647 0.803
O 0.727 0.399 0.890
O 0.748 0.319 0.489
O 0.749 0.921 0.143
O 0.252 0.681 0.511
O 0.251 0.079 0.857
O 0.273 0.601 0.110
Ta 0.747 0.165 0.779
Ta 0.253 0.835 0.221
F 0.228 0.144 0.254
F 0.772 0.856 0.746

Properties
VASP energy: -7.42 eV/atom
SG: P-1

# 13
Here is a geometry-optimized Tb3O2F5 structure from OQMD via LeMat-Bulk. Energies are from PBE.

Lattice parameters (Å, degrees): 5.561 16.854 5.314 90.00 90.00 90.00
Sites, in units of the cell vectors:
Tb 0.695 0.905 0.534
Tb 0.805 0.405 0.034
Tb 0.745 0.250 0.459
Tb 0.305 0.405 0.466
Tb 0.755 0.750 0.959
Tb 0.305 0.095 0.466
Tb 0.245 0.250 0.041
Tb 0.195 0.905 0.966
Tb 0.255 0.750 0.541
Tb 0.195 0.595 0.966
Tb 0.695 0.595 0.534
Tb 0.805 0.095 0.034
F 0.660 0.126 0.660
F 0.340 0.626 0.340
F 0.857 0.250 0.873
F 0.340 0.874 0.340
F 0.643 0.750 0.373
F 0.160 0.126 0.840
F 0.577 0.491 0.260
F 0.160 0.374 0.840
F 0.923 0.991 0.760
F 0.923 0.509 0.760
F 0.660 0.374 0.660
F 0.077 0.009 0.240
F 0.840 0.874 0.160
F 0.357 0.250 0.627
F 0.143 0.750 0.127
F 0.423 0.509 0.740
F 0.577 0.009 0.260
F 0.423 0.991 0.740
F 0.077 0.491 0.240
F 0.840 0.626 0.160
O 0.019 0.333 0.298
O 0.519 0.167 0.202
O 0.481 0.667 0.798
O 0.019 0.167 0.298
O 0.481 0.833 0.798
O 0.519 0.333 0.202
O 0.981 0.833 0.702
O 0.981 0.667 0.702

Properties
VASP energy: -7.30 eV/atom
SG: Pnma

# 14
Here is a geometry-optimized TcOF2 structure from OQMD via LeMat-Bulk. Energies are from PBE.

Lattice parameters (Å, degrees): 3.665 5.501 5.128 106.20 110.94 90.00
Sites, in units of the cell vectors:
Tc 0.000 0.750 0.000
Tc 0.000 0.250 0.000
O 0.500 0.750 0.000
O 0.500 0.250 0.000
F 0.166 0.086 0.332
F 0.834 0.914 0.668
F 0.834 0.414 0.668
F 0.166 0.586 0.332

Properties
Energy above the lowest structure with this stoichiometry: 0.0 meV/atom
SG: C2/m

# 15
Here is a geometry-optimized TcO3F structure from OQMD via LeMat-Bulk. Energies are from PBE.

Lattice parameters (Å, degrees): 5.524 4.894 9.118 90.00 94.18 90.00
Sites, in units of the cell vectors:
O 0.072 0.400 0.195
O 0.455 0.787 0.801
O 0.198 0.651 0.548
O 0.545 0.213 0.199
O 0.198 0.849 0.048
O 0.072 0.100 0.695
O 0.802 0.349 0.452
O 0.802 0.151 0.952
O 0.545 0.287 0.699
O 0.928 0.900 0.305
O 0.928 0.600 0.805
O 0.455 0.713 0.301
F 0.334 0.355 0.951
F 0.666 0.855 0.549
F 0.334 0.145 0.451
F 0.666 0.645 0.049
Tc 0.315 0.927 0.640
Tc 0.685 0.073 0.360
Tc 0.685 0.427 0.860
Tc 0.315 0.573 0.140

Properties
VASP energy: -6.79 eV/atom
SG: P2_1/c

# 16
Here is a geometry-optimized TcOF2 structure from OQMD via LeMat-Bulk. Energies are from PBE.

Lattice parameters (Å, degrees): 8.946 3.115 7.339 90.00 114.64 90.00
Sites, in units of the cell vectors:
Tc 0.905 0.507 0.311
Tc 0.405 0.007 0.311
Tc 0.595 0.007 0.689
Tc 0.095 0.507 0.689
O 0.494 0.507 0.268
O 0.005 0.008 0.732
O 0.506 0.507 0.732
O 0.994 0.008 0.268
F 0.189 0.008 0.100
F 0.787 0.008 0.388
F 0.311 0.509 0.900
F 0.213 0.008 0.612
F 0.811 0.008 0.899
F 0.287 0.508 0.388
F 0.713 0.508 0.612
F 0.689 0.509 0.101

Properties
Energy above the lowest structure with this stoichiometry: 298.1 meV/atom
SG: C2/m